CeY5Er4 (PBE, relaxed); final energy = -53.615 eV per cell; space group = I4mm, No. 107; formation energy = 289 meV/atom; crystal system = tetragonal
1.0
-1.725 -3.873 4.036
5.042 -6.172 0.477
3.077 1.680 7.173
Ce Y Er
1 5 4
Cartesian
-0.334 -0.750 0.781 Ce
0.551 -5.294 3.293 Y
1.678 0.490 5.081 Y
4.859 -8.534 6.270 Y
5.986 -2.750 8.058 Y
-1.137 -2.553 2.660 Y
2.934 -2.657 6.819 Er
4.108 -6.055 8.306 Er
2.438 -1.968 3.023 Er
3.612 -5.365 4.510 Er

---

Sr2MgSn12 (PBE, relaxed); final energy = -110.695 eV per cell; space group = P4/nbm, No. 125; formation energy = -157 meV/atom; crystal system = tetragonal
1.0
-6.507 0.165 -3.173
1.871 -5.646 -4.131
-6.331 -11.175 12.405
Sr Mg Sn
4 2 24
Cartesian
-4.815 -2.673 1.472 Sr
-0.626 -5.578 0.993 Sr
-3.835 -11.242 7.281 Sr
-8.024 -8.337 7.760 Sr
-3.254 0.082 -1.586 Mg
0.936 -2.823 -2.065 Mg
-7.427 -11.757 6.358 Sn
-5.109 -9.017 10.010 Sn
-9.213 -14.228 5.756 Sn
-5.958 -14.313 7.340 Sn
-2.261 -3.990 4.429 Sn
-0.821 -5.248 -2.718 Sn
-8.448 -8.152 2.932 Sn
-4.579 -6.730 0.777 Sn
-6.890 -11.491 9.407 Sn
-4.073 -5.168 -4.306 Sn
-5.550 -7.159 5.306 Sn
-6.709 -5.599 2.648 Sn
-4.071 -7.185 7.976 Sn
-3.099 -6.757 3.448 Sn
-1.759 -2.425 -0.654 Sn
-7.014 -8.390 -0.022 Sn
-6.272 -11.006 1.471 Sn
-1.223 -2.158 2.396 Sn
-3.375 -10.013 3.845 Sn
-6.389 -9.925 4.324 Sn
-10.145 -11.405 7.823 Sn
-3.541 -4.899 -1.256 Sn
-3.403 -9.548 0.778 Sn
-5.012 -2.345 -2.242 Sn

---

Tb4ZrP5 (PBE, relaxed); final energy = -69.678 eV per cell; space group = I4/m, No. 87; formation energy = -1556 meV/atom; crystal system = tetragonal
1.0
5.055 0.000 2.438
2.527 6.261 1.219
-0.192 0.000 6.858
Tb Zr P
4 1 5
Cartesian
2.892 2.489 6.935 Tb
5.949 4.990 7.057 Tb
1.451 1.270 3.463 Tb
4.508 3.771 3.585 Tb
0.006 0.000 0.003 Zr
5.393 2.427 8.210 P
3.394 5.052 5.894 P
4.006 1.209 4.626 P
2.007 3.834 2.310 P
2.533 0.000 1.222 P

---

KIn3Tc (PBE, relaxed); ΔE to the lowest computed polymorph = 1730 meV per atom; final energy = -11.023 eV per cell; space group = Pm-3m, No. 221; formation energy = 1731 meV/atom; crystal system = cubic
1.0
-2.824 -3.535 3.614
3.837 -4.195 -1.105
3.292 1.855 4.388
K Tc In
1 1 3
Cartesian
0.000 0.000 0.000 K
2.152 -2.937 3.448 Tc
1.918 -2.097 -0.553 In
1.646 0.928 2.194 In
-1.412 -1.768 1.807 In

---

NaLi2TeH (PBE, relaxed); ΔE to the lowest computed polymorph = 0 meV per atom; final energy = -15.046 eV per cell; space group = P4/mmm, No. 123; crystal system = tetragonal
1.0
4.402 0.000 0.000
0.000 4.402 0.000
0.000 0.000 4.436
Na Te H Li
1 1 1 2
Cartesian
0.000 0.000 2.218 Na
2.201 2.201 2.218 Te
0.000 0.000 0.000 H
0.000 2.201 0.000 Li
2.201 0.000 0.000 Li

---

Nd3Y5Er2 (PBE, relaxed); final energy = -107.800 eV per cell; space group = C2/c, No. 15; formation energy = 185 meV/atom; crystal system = monoclinic
1.0
8.420 1.503 -3.887
0.199 8.499 -3.957
-1.667 -1.826 10.875
Nd Y Er
6 10 4
Cartesian
0.536 6.928 5.681 Nd
6.416 1.248 -2.651 Nd
5.822 4.669 -1.996 Nd
1.130 3.508 5.027 Nd
-0.094 6.168 -0.432 Nd
7.046 2.009 3.463 Nd
2.330 4.776 -2.621 Y
4.623 3.401 5.652 Y
-0.547 5.626 2.830 Y
3.576 2.143 2.897 Y
7.499 2.550 0.200 Y
3.377 6.034 0.133 Y
6.126 5.140 2.223 Y
0.826 3.037 0.808 Y
1.960 0.269 6.031 Y
4.992 7.908 -3.000 Y
5.255 -0.064 4.992 Er
1.698 8.240 -1.961 Er
2.866 5.514 3.352 Er
4.086 2.663 -0.322 Er